#a
Here is a relaxed structure of Dy12Ho5Th2 from the Alexandria database. Energies are from PBE.

Cell: 6.2615 9.1257 10.7076 Å, 86.96 83.14 88.32°
Closest atoms and distances in Å follow each position.
Fractional positions:
Dy: 0.0086 0.1773 0.3875  5 Ho 3.46-3.78, 5 Dy 3.46-3.69, 1 Th 3.84
Dy: 0.0916 0.8229 0.9443  2 Th 3.48-3.52, 7 Dy 3.48-3.68, 3 Ho 3.53-3.70
Dy: 0.1411 0.1367 0.7444  4 Ho 3.31-3.58, 6 Dy 3.46-3.71, 1 Th 3.56
Dy: 0.3241 0.7019 0.3509  4 Ho 3.23-3.50, 4 Dy 3.41-3.61, 1 Th 3.41
Dy: 0.4177 0.3360 0.9452  7 Dy 3.41-3.70, 3 Th 3.44-3.65, 2 Ho 3.54-3.63
Dy: 0.4856 0.6628 0.7257  3 Ho 3.40-3.55, 6 Dy 3.53-3.70, 1 Th 3.60
Dy: 0.5144 0.3372 0.2743  3 Ho 3.40-3.55, 6 Dy 3.53-3.70, 1 Th 3.60
Dy: 0.5823 0.6640 0.0548  7 Dy 3.41-3.70, 3 Th 3.44-3.65, 2 Ho 3.54-3.63
Dy: 0.6759 0.2981 0.6491  4 Ho 3.23-3.50, 4 Dy 3.41-3.61, 1 Th 3.41
Dy: 0.8589 0.8633 0.2556  4 Ho 3.31-3.58, 6 Dy 3.46-3.71, 1 Th 3.56
Dy: 0.9084 0.1771 0.0557  2 Th 3.48-3.52, 7 Dy 3.48-3.68, 3 Ho 3.53-3.70
Dy: 0.9914 0.8227 0.6125  5 Ho 3.46-3.78, 5 Dy 3.46-3.69, 1 Th 3.84
Ho: 0.2132 0.4383 0.5603  6 Dy 3.23-3.55, 1 Ho 3.25, 1 Th 3.34
Ho: 0.3791 0.0102 0.1555  10 Dy 3.42-3.70, 1 Ho 3.50
Ho: 0.5000 0.0000 0.5000  10 Dy 3.50-3.81, 2 Ho 3.85
Ho: 0.6209 0.9898 0.8445  10 Dy 3.42-3.70, 1 Ho 3.50
Ho: 0.7868 0.5617 0.4397  6 Dy 3.23-3.55, 1 Ho 3.25, 1 Th 3.34
Th: 0.0528 0.5134 0.1549  1 Ho 3.34, 8 Dy 3.41-3.65, 1 Th 3.48
Th: 0.9472 0.4866 0.8451  1 Ho 3.34, 8 Dy 3.41-3.65, 1 Th 3.48

The value obtained for the mass density is 8.9 g/cm3. Its density of states at the Fermi level is 1.56 states/eV per atom. Its space group is P-1, No. 2. The calculation puts the total moment at 0.001 μB/cell.

#b
Here is a relaxed structure of Dy12Ho5Th2 from the Alexandria database. Energies are from PBE.

Cell: 9.0858 9.0858 8.4927 Å, 91.19 91.19 61.88°
Closest atoms and distances in Å follow each position.
Fractional positions:
Dy: 0.0581 0.0581 0.3265  2 Th 3.34, 2 Ho 3.36-3.45, 7 Dy 3.40-3.50
Dy: 0.0652 0.6807 0.3416  4 Ho 3.39-3.72, 6 Dy 3.40-3.77, 1 Th 3.55
Dy: 0.1670 0.5260 0.7584  4 Dy 3.35-3.61, 1 Th 3.39, 4 Ho 3.49-3.69
Dy: 0.3193 0.9348 0.6584  4 Ho 3.39-3.72, 6 Dy 3.40-3.77, 1 Th 3.55
Dy: 0.4131 0.4131 0.1172  5 Dy 3.40-3.61, 2 Th 3.45, 3 Ho 3.47-3.50
Dy: 0.4740 0.8330 0.2416  4 Dy 3.35-3.61, 1 Th 3.39, 4 Ho 3.49-3.69
Dy: 0.5260 0.1670 0.7584  4 Dy 3.35-3.61, 1 Th 3.39, 4 Ho 3.49-3.69
Dy: 0.5869 0.5869 0.8828  5 Dy 3.40-3.61, 2 Th 3.45, 3 Ho 3.47-3.50
Dy: 0.6807 0.0652 0.3416  4 Ho 3.39-3.72, 6 Dy 3.40-3.77, 1 Th 3.55
Dy: 0.8330 0.4740 0.2416  4 Dy 3.35-3.61, 1 Th 3.39, 4 Ho 3.49-3.69
Dy: 0.9348 0.3193 0.6584  4 Ho 3.39-3.72, 6 Dy 3.40-3.77, 1 Th 3.55
Dy: 0.9419 0.9419 0.6735  2 Th 3.34, 2 Ho 3.36-3.45, 7 Dy 3.40-3.50
Ho: 0.1961 0.1961 0.0146  8 Dy 3.45-3.66, 2 Th 3.48, 1 Ho 3.64
Ho: 0.2680 0.2680 0.4250  8 Dy 3.36-3.50, 2 Ho 3.64-3.66
Ho: 0.5000 0.5000 0.5000  10 Dy 3.49-3.72, 2 Ho 3.66
Ho: 0.7320 0.7320 0.5750  8 Dy 3.36-3.50, 2 Ho 3.64-3.66
Ho: 0.8039 0.8039 0.9854  8 Dy 3.45-3.66, 2 Th 3.48, 1 Ho 3.64
Th: 0.1783 0.8217 0.0000  1 Th 3.33, 8 Dy 3.34-3.55, 2 Ho 3.48
Th: 0.8217 0.1783 0.0000  1 Th 3.33, 8 Dy 3.34-3.55, 2 Ho 3.48

The value obtained for the mass density is 8.7 g/cm3. Its density of states at the Fermi level is 1.49 states/eV per atom. Its space group is C2/m, No. 12. The calculation puts the total moment at 0.000 μB/cell.

Bottom line: #a, by a margin of 0.071 eV/atom.

#a
Here is a relaxed structure of DyHo2Th4 from the Alexandria database. Energies are from PBE.

Cell: 9.2953 9.2953 5.5220 Å, 90.00 90.00 90.00°
Closest atoms and distances in Å follow each position.
Fractional positions:
Dy: 0.0000 0.0000 0.0000  4 Ho 3.65, 4 Th 3.68
Dy: 0.5000 0.5000 0.5000  4 Ho 3.65, 4 Th 3.68
Ho: 0.1816 0.1816 0.5000  6 Th 3.35-3.37, 2 Dy 3.65
Ho: 0.3184 0.6816 0.0000  6 Th 3.35-3.37, 2 Dy 3.65
Ho: 0.6816 0.3184 0.0000  6 Th 3.35-3.37, 2 Dy 3.65
Ho: 0.8184 0.8184 0.5000  6 Th 3.35-3.37, 2 Dy 3.65
Th: 0.1235 0.3763 0.0000  6 Th 3.25-3.59, 3 Ho 3.35-3.37
Th: 0.1237 0.6235 0.5000  6 Th 3.25-3.59, 3 Ho 3.35-3.37
Th: 0.3763 0.1235 0.0000  6 Th 3.25-3.59, 3 Ho 3.35-3.37
Th: 0.3765 0.8763 0.5000  6 Th 3.25-3.59, 3 Ho 3.35-3.37
Th: 0.6235 0.1237 0.5000  6 Th 3.25-3.59, 3 Ho 3.35-3.37
Th: 0.6237 0.8765 0.0000  6 Th 3.25-3.59, 3 Ho 3.35-3.37
Th: 0.8763 0.3765 0.5000  6 Th 3.25-3.59, 3 Ho 3.35-3.37
Th: 0.8765 0.6237 0.0000  6 Th 3.25-3.59, 3 Ho 3.35-3.37

The value obtained for the mass density is 9.9 g/cm3. Its density of states at the Fermi level is 1.63 states/eV per atom. Its space group is P4_2/mnm, No. 136. The calculation puts the total moment at 0.000 μB/cell.

#b
Here is a relaxed structure of DyHo2Th4 from the Alexandria database. Energies are from PBE.

Cell: 9.1042 9.1042 9.1042 Å, 143.69 143.69 52.30°
Closest atoms and distances in Å follow each position.
Fractional positions:
Dy: 0.0000 0.0000 0.0000  6 Th 2.84-3.04
Ho: 0.3859 0.3859 0.0000  5 Th 3.27-3.40
Ho: 0.6141 0.6141 0.0000  5 Th 3.27-3.40
Th: 0.0000 0.5000 0.5000  2 Dy 2.84
Th: 0.1861 0.1861 0.0000  1 Dy 3.04, 1 Ho 3.27
Th: 0.5000 0.0000 0.5000  2 Dy 2.84
Th: 0.8139 0.8139 0.0000  1 Dy 3.04, 1 Ho 3.27

The value obtained for the mass density is 9.0 g/cm3. Its density of states at the Fermi level is 2.40 states/eV per atom. Its space group is I4/mmm, No. 139. The calculation puts the total moment at 0.064 μB/cell.

Bottom line: #a, by a margin of 0.649 eV/atom.

#a
Here is a relaxed structure of Dy3Ho8Th2 from the Alexandria database. Energies are from PBE.

Cell: 6.1092 7.6469 18.5086 Å, 85.95 80.87 77.28°
Closest atoms and distances in Å follow each position.
Fractional positions:
Dy: 0.0000 0.0000 0.0000  10 Ho 3.45-3.58, 2 Th 3.47
Dy: 0.0000 0.0000 0.5000  4 Ho 3.29-3.36, 2 Th 3.65
Dy: 0.3328 0.6852 0.2256  9 Ho 3.33-3.73, 1 Dy 3.47, 2 Th 3.51-3.69
Dy: 0.4299 0.2432 0.2913  8 Ho 3.39-3.64, 2 Th 3.42-3.57, 1 Dy 3.47
Dy: 0.5701 0.7568 0.7087  8 Ho 3.39-3.64, 2 Th 3.42-3.57, 1 Dy 3.47
Dy: 0.6672 0.3148 0.7744  9 Ho 3.33-3.73, 1 Dy 3.47, 2 Th 3.51-3.69
Ho: 0.9996 0.0203 0.3219  4 Dy 3.29-3.64, 4 Ho 3.35-3.58, 1 Th 3.42
Ho: 0.0004 0.9797 0.6781  4 Dy 3.29-3.64, 4 Ho 3.35-3.58, 1 Th 3.42
Ho: 0.1115 0.5561 0.0758  9 Ho 3.44-3.63, 1 Th 3.45, 2 Dy 3.55-3.56
Ho: 0.1142 0.5316 0.7396  4 Dy 3.45-3.56, 2 Th 3.49-3.57, 6 Ho 3.49-3.70
Ho: 0.2315 0.0948 0.8154  5 Ho 3.35-3.54, 4 Dy 3.41-3.66, 2 Th 3.48-3.54
Ho: 0.3341 0.6592 0.8877  7 Ho 3.44-3.63, 2 Th 3.46-3.57, 3 Dy 3.50-3.54
Ho: 0.3644 0.6464 0.5618  5 Ho 3.30-3.58, 2 Dy 3.36-3.40, 3 Th 3.46-3.56
Ho: 0.4459 0.2179 0.9630  3 Dy 3.45-3.63, 2 Th 3.47-3.55, 7 Ho 3.48-3.62
Ho: 0.4488 0.1808 0.6144  6 Ho 3.44-3.81, 2 Th 3.53-3.68, 3 Dy 3.56-3.73
Ho: 0.5512 0.8192 0.3856  6 Ho 3.44-3.81, 2 Th 3.53-3.68, 3 Dy 3.56-3.73
Ho: 0.5541 0.7821 0.0370  3 Dy 3.45-3.63, 2 Th 3.47-3.55, 7 Ho 3.48-3.62
Ho: 0.6356 0.3536 0.4382  5 Ho 3.30-3.58, 2 Dy 3.36-3.40, 3 Th 3.46-3.56
Ho: 0.6659 0.3408 0.1123  7 Ho 3.44-3.63, 2 Th 3.46-3.57, 3 Dy 3.50-3.54
Ho: 0.7685 0.9052 0.1846  5 Ho 3.35-3.54, 4 Dy 3.41-3.66, 2 Th 3.48-3.54
Ho: 0.8858 0.4684 0.2604  4 Dy 3.45-3.56, 2 Th 3.49-3.57, 6 Ho 3.49-3.70
Ho: 0.8885 0.4439 0.9242  9 Ho 3.44-3.63, 1 Th 3.45, 2 Dy 3.55-3.56
Th: 0.0911 0.5700 0.4142  1 Th 3.38, 7 Ho 3.46-3.70, 3 Dy 3.57-3.69
Th: 0.2209 0.1207 0.1464  3 Dy 3.42-3.51, 9 Ho 3.42-3.57
Th: 0.7791 0.8793 0.8536  3 Dy 3.42-3.51, 9 Ho 3.42-3.57
Th: 0.9089 0.4300 0.5858  1 Th 3.38, 7 Ho 3.46-3.70, 3 Dy 3.57-3.69

The value obtained for the mass density is 9.1 g/cm3. Its density of states at the Fermi level is 1.37 states/eV per atom. Its space group is P-1, No. 2. The calculation puts the total moment at 0.000 μB/cell.

#b
Here is a relaxed structure of Dy3Ho8Th2 from the Alexandria database. Energies are from PBE.

Cell: 10.9806 10.9806 5.6302 Å, 90.00 90.00 140.93°
Closest atoms and distances in Å follow each position.
Fractional positions:
Dy: 0.0000 0.0000 0.0000  4 Ho 3.07
Dy: 0.2748 0.2748 0.5000  3 Dy 3.31-3.46, 6 Ho 3.52-3.61
Dy: 0.7252 0.7252 0.5000  3 Dy 3.31-3.46, 6 Ho 3.52-3.61
Ho: 0.1392 0.8608 0.5000  2 Dy 3.52, 6 Ho 3.55-3.71, 2 Th 3.57
Ho: 0.1727 0.3913 0.0000  1 Dy 3.07, 1 Ho 3.20, 1 Th 3.41
Ho: 0.3339 0.6661 0.5000  2 Th 3.36, 6 Ho 3.45-3.71
Ho: 0.3913 0.1727 0.0000  1 Dy 3.07, 1 Ho 3.20, 1 Th 3.41
Ho: 0.6087 0.8273 0.0000  1 Dy 3.07, 1 Ho 3.20, 1 Th 3.41
Ho: 0.6661 0.3339 0.5000  2 Th 3.36, 6 Ho 3.45-3.71
Ho: 0.8273 0.6087 0.0000  1 Dy 3.07, 1 Ho 3.20, 1 Th 3.41
Ho: 0.8608 0.1392 0.5000  2 Dy 3.52, 6 Ho 3.55-3.71, 2 Th 3.57
Th: 0.2453 0.7547 0.0000  8 Ho 3.36-3.57, 2 Th 3.68
Th: 0.7547 0.2453 0.0000  8 Ho 3.36-3.57, 2 Th 3.68

The value obtained for the mass density is 8.8 g/cm3. Its density of states at the Fermi level is 1.78 states/eV per atom. Its space group is Cmmm, No. 65. The calculation puts the total moment at 0.000 μB/cell.

Bottom line: #a, by a margin of 0.164 eV/atom.